1.
Material: Rb2TiAlO4
Method: DFT, GGA-PBE
State: relaxed

a = 12.3398 Å, b = 10.9161 Å, c = 6.8441 Å
α = 84.73°, β = 61.75°, γ = 33.52°
With the nearest neighbours (Å) after each atom.
Positions (direct):
Rb: 0.0524 0.0524 0.6976  8 O 3.14-3.50
Rb: 0.3024 0.3024 0.9476  8 O 3.14-3.50
Rb: 0.6976 0.6976 0.0524  8 O 3.14-3.50
Rb: 0.9476 0.9476 0.3024  8 O 3.14-3.50
Ti: 0.1250 0.1250 0.1250  4 O 1.90
Ti: 0.8750 0.8750 0.8750  4 O 1.90
Al: 0.3750 0.3750 0.3750  4 O 1.81
Al: 0.6250 0.6250 0.6250  4 O 1.81
O: 0.0171 0.6589 0.5663  1 Al 1.81, 1 Ti 1.90
O: 0.2578 0.5663 0.6589  1 Al 1.81, 1 Ti 1.90
O: 0.3411 0.9829 0.7422  1 Al 1.81, 1 Ti 1.90
O: 0.4337 0.7422 0.9829  1 Al 1.81, 1 Ti 1.90
O: 0.5663 0.2578 0.0171  1 Al 1.81, 1 Ti 1.90
O: 0.6589 0.0171 0.2578  1 Al 1.81, 1 Ti 1.90
O: 0.7422 0.4337 0.3411  1 Al 1.81, 1 Ti 1.90
O: 0.9829 0.3411 0.4337  1 Al 1.81, 1 Ti 1.90

Summary:
**DFT total energy**: -0.2356 hartree per atom
**Crystal system**: orthorhombic
**Formation energy from raw total energies**: -2236 meV/atom

2.
Material: RbTi3AlO8
Method: DFT, GGA-PBE
State: relaxed

a = 2.9859 Å, b = 7.3097 Å, c = 7.3404 Å
α = 87.53°, β = 78.28°, γ = 78.23°
With the nearest neighbours (Å) after each atom.
Positions (direct):
Rb: 0.0000 0.0000 0.0000  2 Rb 2.99, 8 O 3.00-3.02
Ti: 0.3078 0.8189 0.5114  6 O 1.91-2.05
Ti: 0.6588 0.2001 0.4824  5 O 1.87-2.02
Ti: 0.8280 0.4951 0.8355  6 O 1.91-2.05
Al: 0.1447 0.5185 0.1881  6 O 1.88-1.98
O: 0.0350 0.2960 0.6314  3 Ti 1.96-2.05
O: 0.2899 0.0557 0.3602  3 Ti 2.01-2.02
O: 0.3261 0.6322 0.7128  3 Ti 1.97-2.00
O: 0.3361 0.3641 0.9603  2 Ti 1.97-1.99, 1 Al 1.98
O: 0.6497 0.6408 0.0573  1 Ti 1.91, 2 Al 1.97
O: 0.6583 0.3832 0.2967  1 Ti 1.87, 2 Al 1.94
O: 0.7061 0.9506 0.6378  3 Ti 1.93-2.10
O: 0.9600 0.7045 0.3731  1 Al 1.88, 2 Ti 1.91-2.03

Summary:
**DFT total energy**: -0.2986 hartree per atom
**Crystal system**: triclinic
**Formation energy from raw total energies**: -2889 meV/atom

3.
Material: Rb4Tm3AlO8
Method: DFT, GGA-PBE
State: relaxed

a = 7.5631 Å, b = 7.5631 Å, c = 7.5631 Å
α = 52.67°, β = 52.67°, γ = 52.67°
With the nearest neighbours (Å) after each atom.
Positions (direct):
Rb: 0.0000 0.0000 0.0000  6 O 3.00, 6 Rb 3.36
Rb: 0.0000 0.5000 0.5000  6 O 2.86-2.87
Rb: 0.5000 0.0000 0.5000  6 O 2.86-2.87
Rb: 0.5000 0.5000 0.0000  6 O 2.86-2.87
Tm: 0.0000 0.0000 0.5000  6 O 2.24-2.28
Tm: 0.0000 0.5000 0.0000  6 O 2.24-2.28
Tm: 0.5000 0.0000 0.0000  6 O 2.24-2.28
Al: 0.5000 0.5000 0.5000  6 O 2.10
O: 0.2246 0.2246 0.2246  3 Tm 2.24
O: 0.2465 0.7101 0.7101  1 Al 2.10, 2 Tm 2.28
O: 0.2899 0.2899 0.7535  1 Al 2.10, 2 Tm 2.28
O: 0.2899 0.7535 0.2899  1 Al 2.10, 2 Tm 2.28
O: 0.7101 0.2465 0.7101  1 Al 2.10, 2 Tm 2.28
O: 0.7101 0.7101 0.2465  1 Al 2.10, 2 Tm 2.28
O: 0.7535 0.2899 0.2899  1 Al 2.10, 2 Tm 2.28
O: 0.7754 0.7754 0.7754  3 Tm 2.24

Summary:
**DFT total energy**: -0.2326 hartree per atom
**Crystal system**: trigonal
**Formation energy from raw total energies**: -2537 meV/atom

4.
Material: Rb3UAl2O8
Method: DFT, GGA-PBE
State: relaxed

a = 5.8743 Å, b = 5.8743 Å, c = 8.3264 Å
α = 90.00°, β = 90.00°, γ = 120.00°
With the nearest neighbours (Å) after each atom.
Positions (direct):
Rb: 0.0000 0.0000 0.0000  12 O 3.41-3.44
Rb: 0.3333 0.6667 0.7495  1 O 2.69
Rb: 0.6667 0.3333 0.2505  1 O 2.69
U: 0.0000 0.0000 0.5000  6 O 2.10
Al: 0.3333 0.6667 0.2818  4 O 1.75-1.79
Al: 0.6667 0.3333 0.7182  4 O 1.75-1.79
O: 0.1678 0.3356 0.3541  1 Al 1.79
O: 0.1678 0.8322 0.3541  1 Al 1.79
O: 0.3333 0.6667 0.0721  1 Al 1.75
O: 0.3356 0.1678 0.6459  1 Al 1.79
O: 0.6644 0.8322 0.3541  1 Al 1.79
O: 0.6667 0.3333 0.9279  1 Al 1.75
O: 0.8322 0.1678 0.6459  1 Al 1.79
O: 0.8322 0.6644 0.6459  1 Al 1.79

Summary:
**DFT total energy**: -0.2504 hartree per atom
**Crystal system**: trigonal
**Formation energy from raw total energies**: -2432 meV/atom